VASP calculation (GGA+U) on a relaxed Rb2BaCoF6 crystal.

Properties
Spin magnetization, μB per atom: 0.30
DFT total energy, eV/atom: -4.87
Relative energy among the computed polymorphs, kJ per mole of atoms: 0.0
Calculated density, g cm⁻³: 4.0

Cell lengths 6.2089, 9.2730, 6.8622 Å; angles 90.00, 90.00, 90.00 degrees
Positions (direct):
Rb: 0.2500 0.0272 0.1940
Rb: 0.2500 0.4728 0.1940
Rb: 0.7500 0.5272 0.8060
Rb: 0.7500 0.9728 0.8060
Ba: 0.2500 0.2500 0.7033
Ba: 0.7500 0.7500 0.2967
Co: 0.2500 0.7500 0.7873
Co: 0.7500 0.2500 0.2127
F: 0.0098 0.7500 0.5868
F: 0.0232 0.7500 0.0076
F: 0.2500 0.5187 0.7862
F: 0.2500 0.9813 0.7862
F: 0.4768 0.7500 0.0076
F: 0.4902 0.7500 0.5868
F: 0.5098 0.2500 0.4132
F: 0.5232 0.2500 0.9924
F: 0.7500 0.0187 0.2138
F: 0.7500 0.4813 0.2138
F: 0.9768 0.2500 0.9924
F: 0.9902 0.2500 0.4132